Record 1
The following is a GGA-PBE calculation of a geometry-optimized CoTc2Te structure, from Alexandria via LeMat-Bulk.

The structure belongs to space group P4/mmm (No. 123); the cell edges are 3.129, 3.129 and 6.269 Å and the angles 90.00°, 90.00° and 90.00°. The inequivalent atoms are Co at (0.000, 0.000, 0.000), Tc at (0.500, 0.500, 0.221) and Te at (0.000, 0.000, 0.500).

The value obtained for the raw formation energy is 40.9 kJ per mole of atoms.

---

Record 2
The following is a GGA-PBE calculation of a geometry-optimized Cd3In2Ag4 structure, from Alexandria via LeMat-Bulk.

The structure belongs to space group C2/c (No. 15); the cell edges are 13.589, 11.041 and 5.131 Å and the angles 90.00°, 92.85° and 90.00°. The inequivalent atoms are Cd at (0.000, 0.051, 0.250), Cd at (0.106, 0.428, 0.973), In at (0.223, 0.098, 0.493), Ag at (0.070, 0.288, 0.481) and Ag at (0.150, 0.177, 0.977).

As for the energy above the lowest structure with this stoichiometry: 16 meV per atom. The value obtained for the calculated formation energy is 0.025 eV/atom.

---

Record 3
The following is a GGA-PBE calculation of a geometry-optimized Rb2Mg3H8 structure, from Alexandria via LeMat-Bulk.

The structure belongs to space group C2/m (No. 12); the cell edges are 12.926, 6.264 and 5.266 Å and the angles 90.00°, 109.49° and 90.00°. The inequivalent atoms are Rb at (0.219, 0.000, 0.169), Mg at (0.000, 0.242, 0.500), Mg at (0.000, 0.500, 0.000), H at (0.082, 0.290, 0.876), H at (0.085, 0.500, 0.405) and H at (0.098, 0.000, 0.495).

---

| no. | total energy (eV/cell) |
| --- | --- |
| 1 | -29.29 |
| 2 | -77.60 |
| 3 | -72.93 |